Below is a relaxed Be2InHg crystal, with properties calculated at the PBE level.

Geometry as POSCAR:
```
Be2InHg
1.0
3.659 0.000 0.000
0.000 3.681 0.000
0.000 0.000 5.043
Be In Hg
2 1 1
Cartesian
0.000 0.000 0.000
1.829 1.841 1.375
1.829 1.841 3.976
0.000 0.000 2.353
```

Properties
The crystal system is orthorhombic. The calculation puts the energy relative to the elements at 0.52 eV/atom.

=====

Below is a relaxed LiTl2Si crystal, with properties calculated at the PBE level.

Geometry as POSCAR:
```
LiTl2Si
1.0
-4.594 4.594 2.592
4.594 -4.594 2.592
4.594 4.594 -2.592
Li Tl Si
2 4 2
Cartesian
0.000 0.000 0.000
0.000 4.594 1.296
2.297 -1.410 1.944
3.184 2.297 0.648
2.297 6.004 -0.648
1.410 2.297 3.240
4.594 0.000 1.296
0.000 0.000 2.592
```

Properties
The crystal system is tetragonal. For the formation energy from raw total energies, the calculation gives 0.215 eV/atom.

=====

Below is a relaxed NaRhN2 crystal, with properties calculated at the PBE level.

Geometry as POSCAR:
```
NaRhN2
1.0
0.000 2.674 2.674
2.674 0.000 2.674
2.674 2.674 0.000
Na Rh N
1 1 2
Cartesian
0.000 0.000 0.000
2.674 2.674 2.674
1.337 1.337 1.337
4.011 4.011 4.011
```

Properties
The crystal system is cubic. For the formation energy from raw total energies, the calculation gives 0.975 eV/atom.

=====

Below is a relaxed CaZnF2 crystal, with properties calculated at the PBE level.

Geometry as POSCAR:
```
CaZnF2
1.0
1.793 1.035 8.411
-1.793 1.035 8.411
0.000 -2.070 8.411
Ca Zn F
1 1 2
Cartesian
0.000 0.000 0.000
0.000 0.000 12.617
0.000 0.000 9.381
0.000 0.000 15.854
```

Properties
The crystal system is trigonal. For the formation energy from raw total energies, the calculation gives -2.625 eV/atom.

=====

Below is a relaxed Na2ZrTcP crystal, with properties calculated at the PBE level.

Geometry as POSCAR:
```
Na2ZrTcP
1.0
5.074 0.000 0.000
0.000 5.074 0.000
0.000 0.000 4.459
Na Zr Tc P
2 1 1 1
Cartesian
0.000 2.537 0.000
2.537 0.000 0.000
0.000 0.000 2.229
2.537 2.537 0.000
2.537 2.537 2.229
```

Properties
The crystal system is tetragonal. The calculation puts the energy relative to the elements at 0.99 eV/atom.

=====

Below is a relaxed AlVBi2Sb crystal, with properties calculated at the PBE level.

Geometry as POSCAR:
```
AlVBi2Sb
1.0
5.325 0.000 0.000
0.000 5.325 0.000
0.000 0.000 4.965
Al V Bi Sb
1 1 2 1
Cartesian
0.000 0.000 0.000
0.000 0.000 2.482
0.000 2.663 2.482
2.663 0.000 2.482
2.663 2.663 0.000
```

Properties
The crystal system is tetragonal. For the formation energy from raw total energies, the calculation gives 0.504 eV/atom.

=====

Below is a relaxed TiZn2Ir3 crystal, with properties calculated at the PBE level.

Geometry as POSCAR:
```
TiZn2Ir3
1.0
2.165 -6.491 0.000
2.165 6.491 0.000
0.000 0.000 6.092
Ti Zn Ir
2 4 6
Cartesian
2.165 4.386 0.000
2.165 -4.386 0.000
2.165 4.311 3.046
2.165 0.000 0.000
2.165 0.000 3.046
2.165 -4.311 3.046
0.000 0.000 1.551
0.000 0.000 4.540
2.165 2.183 1.516
2.165 2.183 4.576
2.165 -2.183 1.516
2.165 -2.183 4.576
```

Properties
The crystal system is orthorhombic. The calculation puts the energy relative to the elements at -0.53 eV/atom.

=====

Below is a relaxed Pr2Dy5Ho2 crystal, with properties calculated at the PBE level.

Geometry as POSCAR:
```
Pr2Dy5Ho2
1.0
10.877 -1.747 0.000
10.877 1.747 0.000
-1.415 0.000 8.106
Pr Dy Ho
2 5 2
Cartesian
3.727 0.000 1.168
16.613 0.000 6.938
0.000 0.000 0.000
1.027 0.000 5.940
6.072 0.000 3.794
14.268 0.000 4.312
19.312 0.000 2.166
8.944 0.000 5.217
11.396 0.000 2.889
```

Properties
The crystal system is monoclinic. The calculation puts the energy relative to the elements at 0.22 eV/atom.

=====

Below is a relaxed TeP3 crystal, with properties calculated at the PBE level.

Geometry as POSCAR:
```
TeP3
1.0
5.180 0.000 0.000
0.000 5.180 0.000
0.000 0.000 5.180
Te P
1 3
Cartesian
0.000 0.000 0.000
0.000 0.000 2.590
0.000 2.590 0.000
2.590 0.000 0.000
```

Properties
The crystal system is cubic. For the formation energy from raw total energies, the calculation gives 1.717 eV/atom.

=====

Below is a relaxed Tb5Er2Tm2 crystal, with properties calculated at the PBE level.

Geometry as POSCAR:
```
Tb5Er2Tm2
1.0
-7.433 6.322 3.032
7.433 -6.322 3.032
7.433 6.322 -3.032
Tb Er Tm
10 4 4
Cartesian
9.562 3.949 -1.022
5.303 -2.373 2.010
0.714 2.535 0.000
6.718 2.535 0.000
-2.130 2.373 2.010
9.562 2.373 2.010
3.716 4.020 1.488
0.714 3.787 3.032
6.718 3.787 3.032
3.716 2.302 4.521
3.716 5.667 -1.331
3.716 0.655 1.702
0.000 0.000 2.431
7.433 0.000 2.431
-2.009 5.720 2.063
2.009 -0.602 5.096
2.009 6.924 2.063
5.424 6.924 2.063
```

Properties
The crystal system is orthorhombic. The calculation puts the energy relative to the elements at 0.19 eV/atom.

=====

Below is a relaxed Na2CoNi crystal, with properties calculated at the PBE level.

Geometry as POSCAR:
```
Na2CoNi
1.0
0.000 3.299 3.299
3.299 0.000 3.299
3.299 3.299 0.000
Na Co Ni
2 1 1
Cartesian
1.649 1.649 1.649
4.948 4.948 4.948
0.000 0.000 0.000
3.299 3.299 3.299
```

Properties
The crystal system is cubic. The calculation puts the energy relative to the elements at 1.00 eV/atom.

=====

Below is a relaxed Na2Tl2Bi3 crystal, with properties calculated at the PBE level.

Geometry as POSCAR:
```
Na2Tl2Bi3
1.0
5.201 -2.585 0.000
5.201 2.585 0.000
-1.728 0.000 7.982
Na Tl Bi
2 2 3
Cartesian
1.953 0.000 1.171
6.722 0.000 6.811
-0.474 0.000 5.770
9.149 0.000 2.212
2.818 0.000 4.606
5.201 0.000 0.000
5.857 0.000 3.376
```

Properties
The crystal system is monoclinic. The calculation puts the energy relative to the elements at -0.16 eV/atom.

=====

Below is a relaxed LaMgNi2P2 crystal, with properties calculated at the PBE level.

Geometry as POSCAR:
```
LaMgNi2P2
1.0
4.003 0.000 0.000
-2.002 3.467 0.000
0.000 0.000 6.980
La Mg Ni P
1 1 2 2
Cartesian
0.000 0.000 0.000
0.000 0.000 3.490
0.000 2.311 4.701
2.002 1.156 2.280
0.000 2.311 1.981
2.002 1.156 4.999
```

Properties
The crystal system is trigonal. The calculation puts the energy relative to the elements at -0.89 eV/atom.

=====

Below is a relaxed As2SeBrN crystal, with properties calculated at the PBE level.

Geometry as POSCAR:
```
As2SeBrN
1.0
4.587 0.000 0.000
0.000 4.587 0.000
0.000 0.000 4.384
As Se Br N
2 1 1 1
Cartesian
0.000 2.294 0.000
2.294 0.000 0.000
0.000 0.000 2.192
2.294 2.294 2.192
2.294 2.294 0.000
```

Properties
The crystal system is tetragonal. For the formation energy from raw total energies, the calculation gives 1.007 eV/atom.

=====

Below is a relaxed BiI2Br crystal, with properties calculated at the PBE level.

Geometry as POSCAR:
```
BiI2Br
1.0
4.402 0.000 0.000
-0.019 5.877 0.000
-2.100 -2.937 7.369
Bi I Br
1 2 1
Cartesian
0.000 0.000 0.000
0.077 3.084 5.172
2.197 0.146 2.197
2.267 0.213 7.368
```

Properties
The crystal system is triclinic. For the formation energy from raw total energies, the calculation gives -0.506 eV/atom.

=====

Below is a relaxed Ga2AgSb crystal, with properties calculated at the PBE level.

Geometry as POSCAR:
```
Ga2AgSb
1.0
2.132 1.231 5.778
-2.132 1.231 5.778
0.000 -2.461 5.778
Ga Ag Sb
2 1 1
Cartesian
0.000 0.000 0.000
0.000 0.000 3.224
0.000 0.000 10.339
0.000 0.000 7.405
```

Properties
The crystal system is trigonal. For the formation energy from raw total energies, the calculation gives 0.084 eV/atom.

=====

Below is a relaxed CsThCu2S4 crystal, with properties calculated at the PBE level.

Geometry as POSCAR:
```
CsThCu2S4
1.0
-3.286 4.172 4.512
3.286 -4.172 4.512
3.286 4.172 -4.512
Cs Th Cu S
1 1 2 4
Cartesian
0.000 0.000 0.000
0.000 0.000 4.512
3.286 0.000 3.281
0.000 4.172 1.231
1.611 2.768 -1.540
1.675 1.405 2.972
1.675 -1.405 6.052
1.611 5.577 1.540
```

Properties
The crystal system is orthorhombic. For the formation energy from raw total energies, the calculation gives -0.843 eV/atom.

=====

| no. | energy (eV/cell) |
| --- | --- |
| 1 | -8.4 |
| 2 | -22.4 |
| 3 | -21.4 |
| 4 | -17.5 |
| 5 | -22.0 |
| 6 | -22.2 |
| 7 | -80.5 |
| 8 | -39.7 |
| 9 | -12.5 |
| 10 | -79.0 |
| 11 | -11.5 |
| 12 | -20.1 |
| 13 | -34.3 |
| 14 | -17.7 |
| 15 | -10.7 |
| 16 | -12.7 |
| 17 | -39.7 |